## Li5Ti12O24 (meta-GGA SCAN)

Data for a crystal of Li5Ti12O24 relaxed with PBEsol.

a b c (Å): 5.0329 8.7812 9.6033
angles (deg): 90.00 90.23 90.00
Space group Pm (No. 6)
One atom of each set of equivalent atoms:
1 Li 0.0000 0.0000 0.0000
2 Li 0.0073 0.3335 0.0028
3 Li 0.3670 0.0000 0.5074
4 Li 0.5181 0.5000 0.4357
5 Ti 0.4155 0.0000 0.8263
6 Ti 0.4314 0.3369 0.8269
7 Ti 0.4583 0.1617 0.1116
8 Ti 0.4746 0.5000 0.1116
9 Ti 0.9101 0.1727 0.6082
10 Ti 0.9329 0.0000 0.3275
11 Ti 0.9460 0.5000 0.6146
12 Ti 0.9760 0.3271 0.3343
13 O 0.1393 0.3258 0.6940
14 O 0.1399 0.1604 0.4328
15 O 0.1413 0.0000 0.6833
16 O 0.1516 0.5000 0.4332
17 O 0.2160 0.0000 0.1826
18 O 0.2310 0.1663 0.9352
19 O 0.2331 0.5000 0.9335
20 O 0.2335 0.3376 0.1829
21 O 0.6334 0.1625 0.7455
22 O 0.6368 0.0000 0.0028
23 O 0.6388 0.3334 0.0039
24 O 0.6473 0.5000 0.7450
25 O 0.7339 0.0000 0.5038
26 O 0.7387 0.5000 0.2552
27 O 0.7433 0.1766 0.2452
28 O 0.7482 0.3389 0.5048

Calculated values
**Uncorrected energy**: -0.8639 Ry/atom
**Uncorrected formation energy**: -3.12 eV per atom
**D(E_F)**: 0.1786 states/eV/atom

=====

## Sc3AlF (meta-GGA SCAN)

Data for a crystal of Sc3AlF relaxed with PBEsol.

a b c (Å): 5.1258 5.1258 5.1258
angles (deg): 90.00 90.00 90.00
Space group Pm-3m (No. 221)
One atom of each set of equivalent atoms:
1 Sc 0.0000 0.0000 0.5000
2 Al 0.0000 0.0000 0.0000
3 F 0.5000 0.5000 0.5000

Calculated values
**Uncorrected energy**: -0.7800 Ry/atom
**Uncorrected formation energy**: 0.19 eV per atom
**D(E_F)**: 1.5102 states/eV/atom

=====

## V2Ge2O7 (meta-GGA SCAN)

Data for a crystal of V2Ge2O7 relaxed with PBEsol.

a b c (Å): 7.2301 8.2065 9.9368
angles (deg): 90.00 109.86 90.00
Space group C2/c (No. 15)
One atom of each set of equivalent atoms:
1 V 0.0506 0.1751 0.4797
2 Ge 0.1979 0.4991 0.7071
3 O 0.0000 0.4169 0.7500
4 O 0.0951 0.0199 0.6328
5 O 0.1498 0.3157 0.1182
6 O 0.2447 0.3439 0.5959

Calculated values
**Uncorrected energy**: -0.9367 Ry/atom
**Uncorrected formation energy**: -2.13 eV per atom

=====

## Y2Au (meta-GGA SCAN)

Data for a crystal of Y2Au relaxed with PBEsol.

a b c (Å): 3.7279 12.5486 6.7705
angles (deg): 90.00 90.00 90.00
Space group Cmc2_1 (No. 36)
One atom of each set of equivalent atoms:
1 Y 0.0000 0.0234 0.0000
2 Y 0.0000 0.2944 0.1862
3 Au 0.0000 0.3800 0.7730

Calculated values
**Uncorrected energy**: -3.1185 Ry/atom
**D(E_F)**: 0.9891 states/eV/atom
**Formation enthalpy at 0 K**: -0.82 eV per atom

=====

## SrGa2Br (meta-GGA SCAN)

Data for a crystal of SrGa2Br relaxed with PBEsol.

a b c (Å): 7.5084 7.5084 7.5084
angles (deg): 90.00 90.00 90.00
Space group Fm-3m (No. 225)
One atom of each set of equivalent atoms:
1 Sr 0.0000 0.0000 0.0000
2 Ga 0.2500 0.2500 0.2500
3 Br 0.0000 0.0000 0.5000

Calculated values
**Uncorrected energy**: -1.3705 Ry/atom
**Uncorrected formation energy**: -0.04 eV per atom
**D(E_F)**: 1.1311 states/eV/atom

=====

## KLiNi2 (meta-GGA SCAN)

Data for a crystal of KLiNi2 relaxed with PBEsol.

a b c (Å): 2.5770 4.2802 6.5724
angles (deg): 90.00 99.27 90.00
Space group P2/m (No. 10)
One atom of each set of equivalent atoms:
1 K 0.0000 0.0000 0.0000
2 Li 0.5000 0.0000 0.5000
3 Ni 0.2973 0.5000 0.6477

Calculated values
**Uncorrected energy**: -0.7528 Ry/atom
**D(E_F)**: 0.6312 states/eV/atom
**Formation enthalpy at 0 K**: 0.52 eV per atom

=====

## LiCd3Ni (meta-GGA SCAN)

Data for a crystal of LiCd3Ni relaxed with PBEsol.

a b c (Å): 4.8679 4.8679 4.8679
angles (deg): 90.00 90.00 90.00
Space group Pm-3m (No. 221)
One atom of each set of equivalent atoms:
1 Li 0.0000 0.0000 0.0000
2 Cd 0.0000 0.5000 0.5000
3 Ni 0.5000 0.5000 0.5000

Calculated values
**Uncorrected energy**: -1.6054 Ry/atom
**D(E_F)**: 0.3735 states/eV/atom
**Formation enthalpy at 0 K**: 0.12 eV per atom

=====

## HgPtW2 (meta-GGA SCAN)

Data for a crystal of HgPtW2 relaxed with PBEsol.

a b c (Å): 9.5962 2.7862 4.9405
angles (deg): 90.00 100.06 90.00
Space group C2/m (No. 12)
One atom of each set of equivalent atoms:
1 Hg 0.0000 0.0000 0.0000
2 Pt 0.0000 0.5000 0.5000
3 W 0.2431 0.0000 0.7378

Calculated values
**Uncorrected energy**: -5.0718 Ry/atom
**D(E_F)**: 0.5992 states/eV/atom
**Formation enthalpy at 0 K**: 0.43 eV per atom

=====

## ZnAu3S (meta-GGA SCAN)

Data for a crystal of ZnAu3S relaxed with PBEsol.

a b c (Å): 4.7330 4.7330 4.7330
angles (deg): 90.00 90.00 90.00
Space group Pm-3m (No. 221)
One atom of each set of equivalent atoms:
1 Zn 0.0000 0.0000 0.0000
2 Au 0.0000 0.5000 0.5000
3 S 0.5000 0.5000 0.5000

Calculated values
**Uncorrected energy**: -3.3491 Ry/atom
**Uncorrected formation energy**: 0.56 eV per atom
**D(E_F)**: 0.3566 states/eV/atom

=====

## Li2CoSiO4 (meta-GGA SCAN)

Data for a crystal of Li2CoSiO4 relaxed with PBEsol.

a b c (Å): 6.2049 4.9758 10.6883
angles (deg): 90.00 90.94 90.00
Space group P2_1/c (No. 14)
One atom of each set of equivalent atoms:
1 Li 0.0017 0.1954 0.4156
2 Li 0.2372 0.2015 0.1696
3 Co 0.4913 0.7098 0.0907
4 Si 0.2447 0.6971 0.3364
5 O 0.0330 0.6959 0.9058
6 O 0.2503 0.6942 0.6902
7 O 0.2549 0.1348 0.8382
8 O 0.4723 0.6939 0.9074

Calculated values
**Uncorrected energy**: -0.6976 Ry/atom
**Uncorrected formation energy**: -2.36 eV per atom
**D(E_F)**: 0.0000 states/eV/atom

=====

## ScCrPbSe2 (meta-GGA SCAN)

Data for a crystal of ScCrPbSe2 relaxed with PBEsol.

a b c (Å): 4.7689 4.7689 4.7453
angles (deg): 90.00 90.00 90.00
Space group P4/mmm (No. 123)
One atom of each set of equivalent atoms:
1 Sc 0.0000 0.0000 0.0000
2 Cr 0.0000 0.0000 0.5000
3 Pb 0.5000 0.5000 0.0000
4 Se 0.0000 0.5000 0.5000

Calculated values
**Uncorrected energy**: -2.1866 Ry/atom
**Uncorrected formation energy**: -0.04 eV per atom
**D(E_F)**: 0.5736 states/eV/atom

=====

## KAu (meta-GGA SCAN)

Data for a crystal of KAu relaxed with PBEsol.

a b c (Å): 11.5077 10.5960 5.7081
angles (deg): 90.00 90.00 90.00
Space group Pbcm (No. 57)
One atom of each set of equivalent atoms:
1 K 0.1117 0.0218 0.2500
2 K 0.2913 0.6114 0.2500
3 K 0.3869 0.2500 0.0000
4 Au 0.0586 0.7500 0.0000
5 Au 0.1421 0.1748 0.7500
6 Au 0.4558 0.5241 0.7500

Calculated values
**Uncorrected energy**: -2.8719 Ry/atom
**D(E_F)**: 0.1899 states/eV/atom
**Formation enthalpy at 0 K**: -0.33 eV per atom

=====

## Ni2TeAs (meta-GGA SCAN)

Data for a crystal of Ni2TeAs relaxed with PBEsol.

a b c (Å): 4.3056 4.3056 3.2835
angles (deg): 90.00 90.00 90.00
Space group P4/mmm (No. 123)
One atom of each set of equivalent atoms:
1 Ni 0.0000 0.5000 0.0000
2 Te 0.0000 0.0000 0.5000
3 As 0.5000 0.5000 0.5000

Calculated values
**Uncorrected energy**: -1.6347 Ry/atom
**Uncorrected formation energy**: 0.21 eV per atom
**D(E_F)**: 0.3637 states/eV/atom

=====

## InCuP2Cl (meta-GGA SCAN)

Data for a crystal of InCuP2Cl relaxed with PBEsol.

a b c (Å): 4.3851 4.3851 5.3358
angles (deg): 90.00 90.00 90.00
Space group P4/mmm (No. 123)
One atom of each set of equivalent atoms:
1 In 0.0000 0.0000 0.0000
2 Cu 0.5000 0.5000 0.5000
3 P 0.0000 0.5000 0.5000
4 Cl 0.5000 0.5000 0.0000

Calculated values
**Uncorrected energy**: -1.1082 Ry/atom
**Uncorrected formation energy**: 0.39 eV per atom
**D(E_F)**: 0.4689 states/eV/atom

=====

## YTe2IN (meta-GGA SCAN)

Data for a crystal of YTe2IN relaxed with PBEsol.

a b c (Å): 5.9947 5.9947 4.0892
angles (deg): 90.00 90.00 90.00
Space group P4/mmm (No. 123)
One atom of each set of equivalent atoms:
1 Y 0.0000 0.0000 0.0000
2 Te 0.0000 0.5000 0.0000
3 I 0.5000 0.5000 0.5000
4 N 0.0000 0.0000 0.5000

Calculated values
**Uncorrected energy**: -2.1625 Ry/atom
**Uncorrected formation energy**: 0.25 eV per atom
**D(E_F)**: 0.9790 states/eV/atom

=====

## AlOsSeN2 (meta-GGA SCAN)

Data for a crystal of AlOsSeN2 relaxed with PBEsol.

a b c (Å): 3.6621 3.6621 4.9033
angles (deg): 90.00 90.00 90.00
Space group P4/mmm (No. 123)
One atom of each set of equivalent atoms:
1 Al 0.0000 0.0000 0.0000
2 Os 0.5000 0.5000 0.5000
3 Se 0.0000 0.0000 0.5000
4 N 0.0000 0.5000 0.0000

Calculated values
**Uncorrected energy**: -1.6418 Ry/atom
**Uncorrected formation energy**: 1.32 eV per atom
**D(E_F)**: 0.6412 states/eV/atom

=====

## MgIn3S (meta-GGA SCAN)

Data for a crystal of MgIn3S relaxed with PBEsol.

a b c (Å): 5.2383 5.2383 5.2383
angles (deg): 90.00 90.00 90.00
Space group Pm-3m (No. 221)
One atom of each set of equivalent atoms:
1 Mg 0.0000 0.0000 0.0000
2 In 0.0000 0.5000 0.5000
3 S 0.5000 0.5000 0.5000

Calculated values
**Uncorrected energy**: -1.6658 Ry/atom
**Uncorrected formation energy**: 0.29 eV per atom
**D(E_F)**: 0.5341 states/eV/atom

=====

## CsCu3B (meta-GGA SCAN)

Data for a crystal of CsCu3B relaxed with PBEsol.

a b c (Å): 5.1771 5.1771 5.1771
angles (deg): 90.00 90.00 90.00
Space group Pm-3m (No. 221)
One atom of each set of equivalent atoms:
1 Cs 0.0000 0.0000 0.0000
2 Cu 0.0000 0.0000 0.5000
3 B 0.5000 0.5000 0.5000

Calculated values
**Uncorrected energy**: -1.1207 Ry/atom
**D(E_F)**: 0.8547 states/eV/atom
**Formation enthalpy at 0 K**: 2.92 eV per atom

=====

## CaTl2Cl (meta-GGA SCAN)

Data for a crystal of CaTl2Cl relaxed with PBEsol.

a b c (Å): 5.8532 6.2218 12.2812
angles (deg): 90.00 90.00 90.00
Space group Fmmm (No. 69)
One atom of each set of equivalent atoms:
1 Ca 0.0000 0.0000 0.0000
2 Tl 0.0000 0.2500 0.2500
3 Cl 0.0000 0.0000 0.5000

Calculated values
**Uncorrected energy**: -3.0432 Ry/atom
**Uncorrected formation energy**: -0.82 eV per atom
**D(E_F)**: 0.4217 states/eV/atom

=====

## MgAg (meta-GGA SCAN)

Data for a crystal of MgAg relaxed with PBEsol.

a b c (Å): 10.1028 3.1805 7.1381
angles (deg): 90.00 109.65 90.00
Space group Cm (No. 8)
One atom of each set of equivalent atoms:
1 Mg 0.0000 0.0000 0.0000
2 Mg 0.0320 0.0000 0.5771
3 Mg 0.3337 0.0000 0.2302
4 Ag 0.1436 0.5000 0.3405
5 Ag 0.1983 0.5000 0.8945
6 Ag 0.3313 0.0000 0.6657

Calculated values
**Uncorrected energy**: -1.3512 Ry/atom
**D(E_F)**: 0.2937 states/eV/atom
**Formation enthalpy at 0 K**: -0.21 eV per atom